# CrC3

A crystal of CrC3 relaxed with PBEsol (meta-GGA SCAN, Alexandria).

Calculated values
**VASP energy**: -9.62 eV per atom
**DFT formation energy**: 2.55 eV per atom
**Spin magnetization**: 0.2833 μB/atom

Cell and atoms, written as CIF:
```
data_CrC3
_chemical_formula_sum 'Cr1 C3'
_symmetry_space_group_name_H-M 'P 1'
_symmetry_Int_Tables_number 1
_cell_length_a 2.598
_cell_length_b 3.319
_cell_length_c 3.319
_cell_angle_alpha 90.00
_cell_angle_beta 90.00
_cell_angle_gamma 90.00
loop_
_symmetry_equiv_pos_as_xyz
'x,y,z'
loop_
_atom_site_label
_atom_site_type_symbol
_atom_site_fract_x
_atom_site_fract_y
_atom_site_fract_z
C1 C 0.500 0.500 0.500
C2 C 0.000 0.000 0.500
Cr1 Cr 0.500 0.000 0.000
C3 C 0.000 0.500 0.000
```